First-principles (meta-GGA SCAN) data for GeBPd2 at its PBEsol-relaxed geometry, as listed in the Alexandria database.

formation energy from the elements: 297 meV/atom
M_tot: 0.00 μB/f.u.
calculated density: 9.68 g cm⁻³

Cell lengths 4.159, 4.159, 4.159 Å; angles 60.00, 60.00, 60.00 degrees
Positions (direct):
Ge: 0.500 0.500 0.500
B: 0.000 0.000 0.000
Pd: 0.250 0.250 0.250
Pd: 0.750 0.750 0.750

***

First-principles (meta-GGA SCAN) data for Ge2BPdS at its PBEsol-relaxed geometry, as listed in the Alexandria database.

E_form (uncorrected): 927 meV/atom
M_tot: 0.00 μB/f.u.
calculated density: 5.89 g cm⁻³

Cell lengths 3.553, 4.834, 4.834 Å; angles 90.00, 90.00, 90.00 degrees
Positions (direct):
Ge: 0.000 0.000 0.500
Ge: 0.000 0.500 0.000
B: 0.500 0.000 0.000
S: 0.000 0.000 0.000
Pd: 0.500 0.500 0.500

***

First-principles (meta-GGA SCAN) data for GeBPt3 at its PBEsol-relaxed geometry, as listed in the Alexandria database.

formation energy from the elements: 1469 meV/atom
M_tot: 0.00 μB/f.u.
calculated density: 11.49 g cm⁻³

Cell lengths 4.589, 4.589, 4.589 Å; angles 90.00, 90.00, 90.00 degrees
Positions (direct):
Ge: 0.000 0.000 0.000
B: 0.500 0.500 0.500
Pt: 0.000 0.500 0.000
Pt: 0.000 0.000 0.500
Pt: 0.500 0.000 0.000

***

First-principles (meta-GGA SCAN) data for Ge2BPt2 at its PBEsol-relaxed geometry, as listed in the Alexandria database.

formation energy from the elements: 557 meV/atom
M_tot: 0.00 μB/f.u.
calculated density: 10.86 g cm⁻³

Cell lengths 3.888, 3.888, 6.168 Å; angles 108.37, 108.37, 90.00 degrees
Positions (direct):
Ge: 0.391 0.391 0.782
Ge: 0.609 0.609 0.218
B: 0.000 0.000 0.000
Pt: 0.250 0.750 0.500
Pt: 0.750 0.250 0.500

***

First-principles (meta-GGA SCAN) data for GeB3Pt at its PBEsol-relaxed geometry, as listed in the Alexandria database.

formation energy from the elements: 1191 meV/atom
M_tot: 0.00 μB/f.u.
calculated density: 7.13 g cm⁻³

Cell lengths 4.119, 4.119, 4.119 Å; angles 90.00, 90.00, 90.00 degrees
Positions (direct):
Ge: 0.500 0.500 0.500
B: 0.000 0.500 0.000
B: 0.000 0.000 0.500
B: 0.500 0.000 0.000
Pt: 0.000 0.000 0.000

***

First-principles (meta-GGA SCAN) data for GeB2Pt at its PBEsol-relaxed geometry, as listed in the Alexandria database.

formation energy from the elements: 254 meV/atom
M_tot: 0.00 μB/f.u.
calculated density: 8.67 g cm⁻³

Cell lengths 4.763, 4.763, 5.932 Å; angles 113.67, 113.67, 90.00 degrees
Positions (direct):
Ge: 0.750 0.250 0.500
Ge: 0.500 0.500 0.000
B: 0.364 0.875 0.250
B: 0.886 0.375 0.250
B: 0.125 0.114 0.750
B: 0.625 0.636 0.750
Pt: 0.250 0.750 0.500
Pt: 0.000 0.000 0.000

***

First-principles (meta-GGA SCAN) data for ReGeB3 at its PBEsol-relaxed geometry, as listed in the Alexandria database.

formation energy from the elements: 1150 meV/atom
M_tot: 0.00 μB/f.u.
calculated density: 6.89 g cm⁻³

Cell lengths 4.125, 4.125, 4.125 Å; angles 90.00, 90.00, 90.00 degrees
Positions (direct):
Re: 0.000 0.000 0.000
Ge: 0.500 0.500 0.500
B: 0.000 0.500 0.000
B: 0.000 0.000 0.500
B: 0.500 0.000 0.000

***

First-principles (meta-GGA SCAN) data for ReGe2BSe at its PBEsol-relaxed geometry, as listed in the Alexandria database.

E_form (uncorrected): 1370 meV/atom
M_tot: 2.09 μB/f.u.
calculated density: 9.07 g cm⁻³

Cell lengths 4.119, 4.119, 4.544 Å; angles 90.00, 90.00, 90.00 degrees
Site moments in Bohr magnetons follow the coordinates.
Positions (direct):
Re: 0.500 0.500 0.500  1.61
Ge: 0.000 0.500 0.000  0.01
Ge: 0.500 0.000 0.000  0.01
B: 0.000 0.000 0.000  0.01
Se: 0.000 0.000 0.500  -0.03